No. 1
A geometry-optimized TcP2OF structure. Source: Alexandria via LeMat-Bulk, functional PBE.

It has space group P4/mmm (No. 123), with a = 4.661 Å, b = 4.661 Å, c = 3.727 Å, α = 90.00°, β = 90.00° and γ = 90.00°. Symmetry generates all atoms from Tc at (0.000, 0.000, 0.000), P at (0.000, 0.500, 0.000), O at (0.000, 0.000, 0.500) and F at (0.500, 0.500, 0.500).

The uncorrected formation energy comes out at -0.208 eV/atom. The value obtained for the excess energy over the best structure of this formula in the dataset is 0 meV/atom.

***

No. 2
A geometry-optimized TcPOF2 structure. Source: Alexandria via LeMat-Bulk, functional PBE.

It has space group P4/mmm (No. 123), with a = 4.512 Å, b = 4.512 Å, c = 3.458 Å, α = 90.00°, β = 90.00° and γ = 90.00°. Symmetry generates all atoms from Tc at (0.000, 0.000, 0.000), P at (0.500, 0.500, 0.500), O at (0.500, 0.500, 0.000) and F at (0.000, 0.500, 0.500).

The uncorrected formation energy comes out at -0.309 eV/atom.

***

No. 3
A geometry-optimized TcP2OF structure. Source: Alexandria via LeMat-Bulk, functional PBE.

It has space group P4/mmm (No. 123), with a = 3.896 Å, b = 3.896 Å, c = 4.190 Å, α = 90.00°, β = 90.00° and γ = 90.00°. Symmetry generates all atoms from Tc at (0.000, 0.000, 0.000), P at (0.000, 0.500, 0.500), O at (0.500, 0.500, 0.000) and F at (0.500, 0.500, 0.500).

The uncorrected formation energy comes out at 0.827 eV/atom. The value obtained for the excess energy over the best structure of this formula in the dataset is 1035 meV/atom.

***

What is the formula in the first record? TcP2OF

***

uncorrected formation energy of number 1 (TcP2OF)? -0.208 eV/atom